Density functional theory data (GGA-PBE) for Cs3Na2NpS6 after structural relaxation.

The structure in extended XYZ format:
```
12
Lattice="3.682 -6.364 0.000 3.682 6.364 0.000 -2.344 0.000 7.799" Properties=species:S:1:pos:R:3 pbc="T T T"
Cs 0.000 0.000 0.000
Cs 3.682 2.293 0.000
Cs 3.682 -2.293 0.000
Na 2.510 4.271 3.900
Na 2.510 -4.271 3.900
Np 2.510 0.000 3.900
S 1.433 1.802 2.499
S 0.473 0.000 5.398
S 1.433 -1.802 2.499
S 3.588 1.802 5.301
S 4.548 0.000 2.401
S 3.588 -1.802 5.301
```

**Energy relative to the elements, uncorrected**: -1.0702 eV per atom

Density functional theory data (GGA-PBE) for K2Er2HfSe6 after structural relaxation.

The structure in extended XYZ format:
```
11
Lattice="3.511 -6.038 0.000 3.511 6.038 0.000 -2.401 0.000 7.864" Properties=species:S:1:pos:R:3 pbc="T T T"
K 3.511 3.984 0.000
K 3.511 -3.984 0.000
Er 2.310 2.018 3.932
Er 2.310 -2.018 3.932
Hf -1.201 0.000 3.932
Se -0.078 1.914 5.490
Se 1.025 0.000 2.386
Se -0.078 -1.914 5.490
Se 4.698 1.914 2.374
Se 3.595 0.000 5.478
Se 4.698 -1.914 2.374
```

**Energy relative to the elements, uncorrected**: -1.6521 eV per atom

Density functional theory data (GGA-PBE) for MnCr2As after structural relaxation.

The structure in extended XYZ format:
```
4
Lattice="2.711 0.000 0.000 0.000 3.793 0.000 0.000 0.000 4.732" Properties=species:S:1:pos:R:3 pbc="T T T"
Mn 0.000 0.000 0.000
Cr 1.355 1.897 1.136
Cr 1.355 1.897 3.596
As 0.000 0.000 2.366
```

**E_tot**: -8.15 eV per atom

Density functional theory data (GGA-PBE) for K2Li2Tl5Cd after structural relaxation.

The structure in extended XYZ format:
```
20
Lattice="11.992 0.000 0.000 0.000 11.992 0.000 0.000 0.000 3.974" Properties=species:S:1:pos:R:3 pbc="T T T"
K 2.167 3.829 0.000
K 3.829 9.825 0.000
K 8.163 2.167 0.000
K 9.825 8.163 0.000
Li 1.449 7.445 0.000
Li 4.547 1.449 0.000
Li 7.445 10.543 0.000
Li 10.543 4.547 0.000
Tl 0.000 5.996 1.987
Tl 0.653 9.628 1.987
Tl 2.364 0.653 1.987
Tl 3.632 6.649 1.987
Tl 5.343 3.632 1.987
Tl 5.996 0.000 1.987
Tl 6.649 8.360 1.987
Tl 8.360 5.343 1.987
Tl 9.628 11.339 1.987
Tl 11.339 2.364 1.987
Cd 0.000 0.000 0.000
Cd 5.996 5.996 0.000
```

**E_tot**: -1.95 eV per atom

Density functional theory data (GGA-PBE) for Ca3TiTe after structural relaxation.

The structure in extended XYZ format:
```
5
Lattice="5.867 0.000 0.000 0.000 5.867 0.000 0.000 0.000 5.867" Properties=species:S:1:pos:R:3 pbc="T T T"
Ca 0.000 0.000 2.933
Ca 0.000 2.933 0.000
Ca 2.933 0.000 0.000
Ti 2.933 2.933 2.933
Te 0.000 0.000 0.000
```

**Energy relative to the elements, uncorrected**: 0.1296 eV per atom

Density functional theory data (GGA-PBE) for BaHgF3 after structural relaxation.

The structure in extended XYZ format:
```
5
Lattice="4.779 0.000 0.000 0.000 4.779 0.000 0.000 0.000 4.779" Properties=species:S:1:pos:R:3 pbc="T T T"
Ba 0.000 0.000 0.000
Hg 2.390 2.390 2.390
F 0.000 2.390 2.390
F 2.390 0.000 2.390
F 2.390 2.390 0.000
```

**Energy relative to the elements, uncorrected**: -2.2034 eV per atom

Density functional theory data (GGA-PBE) for ZnCd2SbAu after structural relaxation.

The structure in extended XYZ format:
```
5
Lattice="5.714 0.000 0.000 0.000 5.714 0.000 0.000 0.000 5.082" Properties=species:S:1:pos:R:3 pbc="T T T"
Zn 0.000 0.000 0.000
Cd 0.000 2.857 2.541
Cd 2.857 0.000 2.541
Sb 0.000 0.000 2.541
Au 2.857 2.857 0.000
```

**Energy relative to the elements, uncorrected**: 0.5158 eV per atom

Density functional theory data (GGA-PBE) for GaFe2CuH after structural relaxation.

The structure in extended XYZ format:
```
5
Lattice="3.587 0.000 0.000 0.000 3.587 0.000 0.000 0.000 4.098" Properties=species:S:1:pos:R:3 pbc="T T T"
Ga 0.000 0.000 0.000
Fe 0.000 1.794 2.049
Fe 1.794 0.000 2.049
Cu 1.794 1.794 0.000
H 0.000 0.000 2.049
```

**E_tot**: -5.38 eV per atom

Density functional theory data (GGA-PBE) for AcYSnPt after structural relaxation.

The structure in extended XYZ format:
```
4
Lattice="0.000 3.813 3.813 3.813 0.000 3.813 3.813 3.813 0.000" Properties=species:S:1:pos:R:3 pbc="T T T"
Ac 0.000 0.000 0.000
Y 3.813 3.813 3.813
Sn 1.907 1.907 1.907
Pt 5.720 5.720 5.720
```

**E_tot**: -5.90 eV per atom

Density functional theory data (GGA-PBE) for Pr2NiP4Ir3 after structural relaxation.

The structure in extended XYZ format:
```
10
Lattice="4.213 0.000 0.000 0.000 4.213 0.000 0.000 0.000 9.464" Properties=species:S:1:pos:R:3 pbc="T T T"
Pr 0.000 2.107 2.329
Pr 2.107 0.000 7.136
Ni 0.000 0.000 4.732
P 0.000 0.000 0.000
P 0.000 2.107 5.974
P 2.107 0.000 3.491
P 2.107 2.107 0.000
Ir 0.000 2.107 8.393
Ir 2.107 0.000 1.071
Ir 2.107 2.107 4.732
```

**E_tot**: -7.32 eV per atom

Density functional theory data (GGA-PBE) for Ac2HoMgO6 after structural relaxation.

The structure in extended XYZ format:
```
20
Lattice="5.896 0.000 0.000 0.000 6.035 0.000 -5.805 0.000 8.382" Properties=species:S:1:pos:R:3 pbc="T T T"
Ac -0.061 0.290 2.088
Ac -2.963 2.728 6.280
Ac 3.055 3.308 2.103
Ac 0.153 5.745 6.294
Ho 2.948 0.000 0.000
Ho 0.046 3.018 4.191
Mg -2.902 0.000 4.191
Mg 0.000 3.018 0.000
O -4.651 1.260 7.926
O -1.748 1.758 3.735
O -4.101 4.221 7.926
O -1.198 4.833 3.735
O -2.283 0.241 6.227
O 0.619 2.777 2.035
O -0.527 3.259 6.347
O 2.375 5.795 2.156
O 1.290 1.203 4.648
O 4.192 1.815 0.456
O 1.840 4.277 4.647
O 4.743 4.776 0.456
```

**Energy relative to the elements, uncorrected**: -3.0185 eV per atom

Density functional theory data (GGA-PBE) for PrHo2Ir after structural relaxation.

The structure in extended XYZ format:
```
4
Lattice="3.485 0.000 0.000 0.000 3.485 0.000 0.000 0.000 8.930" Properties=species:S:1:pos:R:3 pbc="T T T"
Pr 0.000 0.000 0.000
Ho 1.743 1.743 2.848
Ho 1.743 1.743 6.081
Ir 0.000 0.000 4.465
```

**E_tot**: -6.14 eV per atom

Please write out number 5 again, unchanged.
Density functional theory data (GGA-PBE) for Ca3TiTe after structural relaxation.

The structure in extended XYZ format:
```
5
Lattice="5.867 0.000 0.000 0.000 5.867 0.000 0.000 0.000 5.867" Properties=species:S:1:pos:R:3 pbc="T T T"
Ca 0.000 0.000 2.933
Ca 0.000 2.933 0.000
Ca 2.933 0.000 0.000
Ti 2.933 2.933 2.933
Te 0.000 0.000 0.000
```

**Energy relative to the elements, uncorrected**: 0.1296 eV per atom